9
Lattice="3.290 0.000 0.000 0.000 7.627 0.000 0.000 -3.813 6.605" Properties=species:S:1:pos:R:3 comment="Ca3Ag2Rh3C (PBE, optimized geometry)" ef_ev_per_fu=-0.506 sg=P-62m total_energy_ev_per_atom=-4.83 pbc="T T T"
Ca 0.000 -1.385 2.399
Ca 0.000 2.429 4.206
Ca 0.000 2.770 0.000
Ag 1.645 0.000 4.403
Ag 1.645 3.813 2.202
Rh 1.645 6.055 0.000
Rh 1.645 0.786 1.361
Rh 1.645 -3.028 5.244
C 0.000 0.000 0.000


5
Lattice="-1.013 -3.036 2.506 -0.476 -2.474 -3.190 4.647 -1.295 0.311" Properties=species:S:1:pos:R:3 comment="CaAgRh2C (PBE, optimized geometry)" ef_ev_per_fu=-0.352 sg=P4/mmm total_energy_ev_per_atom=-5.83 pbc="T T T"
Ca 2.324 -0.647 0.155
Rh -0.238 -1.237 -1.595
Rh -0.507 -1.518 1.253
C 0.000 0.000 0.000
Ag 1.579 -3.402 -0.187


5
Lattice="5.040 0.000 0.000 0.000 4.057 0.000 0.000 0.000 5.040" Properties=species:S:1:pos:R:3 comment="Ca2AgRhC (PBE, optimized geometry)" ef_ev_per_fu=1.857 relative_energy_mev_per_atom=591 sg=P4/mmm total_energy_ev_per_atom=-4.31 pbc="T T T"
Ca 0.000 0.000 2.520
Ca 2.520 0.000 0.000
Rh 2.520 2.029 2.520
C 0.000 0.000 0.000
Ag 0.000 2.029 0.000


5
Lattice="-0.464 1.808 -4.767 -2.105 -3.657 -1.183 -4.466 2.165 1.256" Properties=species:S:1:pos:R:3 comment="Ca2ScAgC (PBE, optimized geometry)" ef_ev_per_fu=2.670 sg=P4/mmm total_energy_ev_per_atom=-3.95 pbc="T T T"
Sc -3.517 0.158 -2.347
Ca -2.233 1.082 0.628
Ca -0.232 0.904 -2.383
C 0.000 0.000 0.000
Ag -1.053 -1.829 -0.591


5
Lattice="4.490 0.000 0.000 0.000 4.490 0.000 0.000 0.000 5.135" Properties=species:S:1:pos:R:3 comment="CaSc2AgC (PBE, optimized geometry)" ef_ev_per_fu=-1.107 sg=P4/mmm total_energy_ev_per_atom=-5.57 pbc="T T T"
Sc 0.000 2.245 0.000
Sc 2.245 0.000 0.000
Ca 0.000 0.000 2.567
C 0.000 0.000 0.000
Ag 2.245 2.245 2.567


5
Lattice="5.812 0.000 0.000 0.000 5.730 0.000 0.000 0.000 5.812" Properties=species:S:1:pos:R:3 comment="CaAgTe2C (PBE, optimized geometry)" sg=P4/mmm raw_formation_energy_mev_per_atom=1664 total_energy_ev_per_atom=-2.41 pbc="T T T"
Ca 0.000 0.000 0.000
Te 0.000 0.000 2.906
Te 2.906 0.000 0.000
C 2.906 2.865 2.906
Ag 0.000 2.865 0.000


5
Lattice="4.869 0.000 0.000 0.000 4.869 0.000 0.000 0.000 5.135" Properties=species:S:1:pos:R:3 comment="CaY2AgC (PBE, optimized geometry)" ef_ev_per_fu=-0.680 sg=P4/mmm total_energy_ev_per_atom=-5.54 pbc="T T T"
Y 0.000 2.434 0.000
Y 2.434 0.000 0.000
Ca 0.000 0.000 2.567
C 0.000 0.000 0.000
Ag 2.434 2.434 2.567


5
Lattice="-2.577 -0.630 4.610 -3.233 -3.547 -2.292 3.346 -3.912 1.336" Properties=species:S:1:pos:R:3 comment="Cd3AgC (PBE, optimized geometry)" ef_ev_per_fu=7.656 relative_energy_mev_per_atom=778 sg=Pm-3m total_energy_ev_per_atom=-1.43 pbc="T T T"
C -1.232 -4.045 1.827
Ag 0.000 0.000 0.000
Cd -1.616 -1.773 -1.146
Cd 1.673 -1.956 0.668
Cd -1.288 -0.315 2.305


8
Lattice="-0.407 -5.509 1.472 4.508 0.593 3.465 -1.509 -1.023 6.853" Properties=species:S:1:pos:R:3 comment="Cd2AgC (PBE, optimized geometry)" ef_ev_per_fu=4.362 sg=I-42d total_energy_ev_per_atom=-2.39 pbc="T T T"
C 2.050 -2.458 2.469
C 2.524 -1.444 6.393
Ag 0.000 0.000 0.000
Ag 0.067 -4.495 5.397
Cd -0.018 -2.947 2.885
Cd 2.339 -1.251 4.244
Cd 0.961 -2.538 7.418
Cd 1.902 -5.142 9.034


5
Lattice="4.629 0.000 0.000 0.000 4.629 0.000 0.000 0.000 4.629" Properties=species:S:1:pos:R:3 comment="Cd3AgC (PBE, optimized geometry)" ef_ev_per_fu=3.766 relative_energy_mev_per_atom=0 sg=Pm-3m total_energy_ev_per_atom=-2.21 pbc="T T T"
C 0.000 0.000 0.000
Ag 2.314 2.314 2.314
Cd 0.000 2.314 0.000
Cd 0.000 0.000 2.314
Cd 2.314 0.000 0.000


5
Lattice="4.634 0.000 0.000 0.000 4.470 0.000 0.000 0.000 4.634" Properties=species:S:1:pos:R:3 comment="Cd2AgCF (PBE, optimized geometry)" sg=P4/mmm raw_formation_energy_mev_per_atom=926 total_energy_ev_per_atom=-2.23 pbc="T T T"
C 2.317 2.235 2.317
F 0.000 0.000 0.000
Ag 0.000 2.235 0.000
Cd 0.000 0.000 2.317
Cd 2.317 0.000 0.000


5
Lattice="-1.118 -3.387 -3.566 3.573 0.006 -1.126 1.024 -3.738 3.229" Properties=species:S:1:pos:R:3 comment="CdAgIr2C (PBE, optimized geometry)" ef_ev_per_fu=11.121 sg=P4/mmm total_energy_ev_per_atom=-3.92 pbc="T T T"
C 1.787 0.003 -0.563
Ir 0.512 -1.869 1.614
Ir -0.559 -1.694 -1.783
Ag 0.000 0.000 0.000
Cd 1.740 -3.559 -0.732


5
Lattice="-0.085 5.158 0.370 -3.692 0.108 -2.352 -2.779 -0.358 4.347" Properties=species:S:1:pos:R:3 comment="LaCdAg2C (PBE, optimized geometry)" ef_ev_per_fu=4.702 sg=P4/mmm total_energy_ev_per_atom=-3.21 pbc="T T T"
C -1.846 0.054 -1.176
Cd 0.000 0.000 0.000
Ag -1.390 -0.179 2.174
Ag -0.043 2.579 0.185
La -3.278 2.454 1.183


20
Lattice="-4.790 3.106 -3.121 -1.409 -6.254 -1.108 -1.664 0.742 6.245" Properties=species:S:1:pos:R:3 comment="Cd3AgC4O12 (PBE, optimized geometry)" sg=R32 raw_formation_energy_mev_per_atom=-1180 total_energy_ev_per_atom=-6.28 pbc="T T T"
Cd -3.175 -1.363 -2.160
Cd -3.156 1.870 1.774
Cd -1.530 -2.914 2.402
Ag 0.000 0.000 0.000
C -5.537 3.243 0.052
C -2.446 -2.326 5.458
C -3.810 -4.527 -2.485
C -3.931 -1.203 1.008
O -3.964 -0.311 1.947
O -5.175 -0.263 -2.719
O -2.586 -4.928 1.809
O -4.033 1.581 3.935
O -3.454 -4.850 -1.280
O -2.922 -1.143 5.220
O -5.552 2.341 -0.881
O -4.198 -3.320 -2.761
O -2.366 -3.211 4.512
O -5.095 2.963 1.239
O -4.330 -0.902 -0.187
O -3.500 -2.397 1.265


11
Lattice="-2.773 -0.424 -4.534 0.686 -4.272 3.114 -5.431 1.450 3.186" Properties=species:S:1:pos:R:3 comment="CdAg2C2O6 (PBE, optimized geometry)" sg=P-3 raw_formation_energy_mev_per_atom=-951 total_energy_ev_per_atom=-5.93 pbc="T T T"
Cd 0.000 0.000 0.000
Ag -5.510 -0.668 0.298
Ag -2.007 -2.578 1.469
C -4.760 -1.843 3.083
C -2.757 -1.403 -1.317
O -4.333 -0.621 3.212
O -5.443 -2.186 2.030
O -4.449 -2.738 3.976
O -3.185 -2.625 -1.446
O -2.074 -1.061 -0.264
O -3.068 -0.509 -2.210


5
Lattice="-0.785 -0.545 4.081 -4.340 -2.808 -1.210 2.283 -3.515 -0.030" Properties=species:S:1:pos:R:3 comment="CdAgOsC2 (PBE, optimized geometry)" ef_ev_per_fu=16.238 sg=P4/mmm total_energy_ev_per_atom=-3.44 pbc="T T T"
C 1.141 -1.757 -0.015
C -0.393 -0.272 2.040
Os -2.170 -1.404 -0.605
Ag -1.421 -3.434 1.420
Cd 0.000 0.000 0.000


5
Lattice="4.511 0.000 0.000 0.000 4.511 0.000 0.000 0.000 4.475" Properties=species:S:1:pos:R:3 comment="Sc2CdAgC (PBE, optimized geometry)" ef_ev_per_fu=-0.787 sg=P4/mmm total_energy_ev_per_atom=-5.29 pbc="T T T"
Sc 0.000 2.255 0.000
Sc 2.255 0.000 0.000
C 0.000 0.000 0.000
Ag 0.000 0.000 2.237
Cd 2.255 2.255 2.237


5
Lattice="-1.371 1.328 -4.804 -2.239 -3.339 -0.284 -4.073 2.572 1.874" Properties=species:S:1:pos:R:3 comment="VCdAg2C (PBE, optimized geometry)" ef_ev_per_fu=9.967 sg=P4/mmm total_energy_ev_per_atom=-3.00 pbc="T T T"
C -1.119 -1.669 -0.142
V -3.842 0.280 -1.607
Ag -2.037 1.286 0.937
Ag -0.686 0.664 -2.402
Cd 0.000 0.000 0.000


5
Lattice="-0.753 -4.708 1.248 3.675 -1.378 -2.981 2.860 0.425 3.330" Properties=species:S:1:pos:R:3 comment="Y2CdAgC (PBE, optimized geometry)" ef_ev_per_fu=-0.491 sg=P4/mmm total_energy_ev_per_atom=-5.28 pbc="T T T"
Y 1.838 -0.689 -1.490
Y -0.376 -2.354 0.624
C 0.000 0.000 0.000
Ag 1.430 0.213 1.665
Cd 2.891 -2.830 0.798


14
Lattice="-1.076 -1.086 -3.357 -1.853 -4.567 4.099 -11.707 6.290 1.717" Properties=species:S:1:pos:R:3 comment="Ce4AgC2 (PBE, optimized geometry)" ef_ev_per_fu=-0.568 sg=Cmcm total_energy_ev_per_atom=-6.51 pbc="T T T"
C -5.748 1.360 1.402
C -13.238 1.613 1.694
C -1.398 -0.977 0.764
C -8.888 -0.724 1.056
Ag -9.836 3.068 0.133
Ag -4.800 -2.432 2.326
Ce -3.022 -2.673 -0.193
Ce -6.498 -0.806 0.317
Ce -11.614 3.309 2.652
Ce -8.138 1.441 2.142
Ce -11.281 -0.021 1.596
Ce -3.355 0.657 0.863
Ce -0.538 -0.543 -1.679
Ce -6.392 2.602 -0.820